1.
Density functional theory data (PBE) for PmPrUO6 after structural relaxation.

POSCAR file:
```
PmPrUO6
1.0
5.9491 0.0000 0.0000
-2.9746 5.1521 0.0000
0.0000 0.0000 9.6531
Pm Pr U O
2 2 2 12
Direct
0.3333 0.6667 0.2500
0.6667 0.3333 0.7500
0.0000 0.0000 0.0000
0.0000 0.0000 0.5000
0.6667 0.3333 0.2500
0.3333 0.6667 0.7500
0.6666 0.6344 0.1362
0.9677 0.3334 0.1362
0.3334 0.9677 0.6362
0.0323 0.6666 0.8638
0.3656 0.3334 0.3638
0.9677 0.6344 0.3638
0.6344 0.9677 0.8638
0.6666 0.0323 0.3638
0.0323 0.3656 0.6362
0.3656 0.0323 0.1362
0.6344 0.6666 0.6362
0.3334 0.3656 0.8638
```

## Properties
- ρ (g/cm3) = 6.96
- energy relative to the elements, uncorrected (eV/atom) = -3.269
- magnetization (μB per atom) = 0.000
- volume (Å³/f.u.) = 148
- DFT total energy (eV/cell) = -159.99

=====

2.
Density functional theory data (PBE) for CeHf2Sb3 after structural relaxation.

POSCAR file:
```
CeHf2Sb3
1.0
-3.7895 -1.1598 -0.9641
0.4826 -5.3946 4.5929
-4.0862 6.5747 8.1516
Ce Hf Sb
2 4 6
Direct
0.0000 0.0046 0.8719
0.0000 0.5046 0.1281
0.0000 0.9985 0.2135
0.5000 0.0103 0.4876
0.0000 0.4985 0.7865
0.5000 0.5103 0.5124
0.5000 0.1721 0.0647
0.5000 0.2363 0.7067
0.0000 0.2795 0.3912
0.5000 0.6721 0.9353
0.5000 0.7363 0.2933
0.0000 0.7795 0.6088
```

## Properties
- ρ (g/cm3) = 8.80
- energy relative to the elements, uncorrected (eV/atom) = -0.561
- magnetization (μB per atom) = 0.213
- volume (Å³/f.u.) = 163
- DFT total energy (eV/cell) = -83.14

=====

3.
Density functional theory data (PBE) for YCu2O4 after structural relaxation.

POSCAR file:
```
YCu2O4
1.0
2.3683 0.0386 5.7700
-2.6638 -3.4163 4.4874
2.9073 -5.0556 2.2117
Y Cu O
2 4 8
Direct
0.5000 0.5000 0.5000
0.7500 0.7500 0.7500
0.1250 0.1250 0.1250
0.1250 0.1250 0.6250
0.1250 0.6250 0.1250
0.6250 0.1250 0.1250
0.3594 0.9218 0.3594
0.3282 0.8906 0.8906
0.8906 0.8906 0.8906
0.8906 0.8906 0.3282
0.9218 0.3594 0.3594
0.8906 0.3282 0.8906
0.3594 0.3594 0.3594
0.3594 0.3594 0.9218
```

## Properties
- ρ (g/cm3) = 5.42
- energy relative to the elements, uncorrected (eV/atom) = -1.360
- magnetization (μB per atom) = 0.434
- polymorph energy (0 for the lowest one) (eV/atom) = 0.303
- volume (Å³/f.u.) = 86
- DFT total energy (eV/cell) = -88.02